Entry 1:
{"formula": "In2HgRhI", "functional": "PBE", "state": "optimized geometry", "cell": [[5.2666, 0.0000, 0.0000], [0.0000, 5.2666, 0.0000], [0.0000, 0.0000, 5.3277]], "species": ["In", "In", "Hg", "Rh", "I"], "frac_coords": [[0.0000, 0.5000, 0.0000], [0.5000, 0.0000, 0.0000], [0.0000, 0.0000, 0.5000], [0.0000, 0.0000, 0.0000], [0.5000, 0.5000, 0.5000]], "raw_formation_energy_ev_per_atom": -0.20, "magnetic_moment_mub_per_atom": 0.00, "space_group": "P4/mmm, No. 123", "e_above_lowest_polymorph_mev_per_atom": 0, "e_tot_ev_per_atom": -3.1398}

Entry 2:
{"formula": "YErCdSn", "functional": "PBE", "state": "optimized geometry", "cell": [[0.0000, 3.7261, 3.7261], [3.7261, 0.0000, 3.7261], [3.7261, 3.7261, 0.0000]], "species": ["Y", "Er", "Cd", "Sn"], "frac_coords": [[0.0000, 0.0000, 0.0000], [0.5000, 0.5000, 0.5000], [0.2500, 0.2500, 0.2500], [0.7500, 0.7500, 0.7500]], "magnetic_moment_mub_per_atom": 0.00, "space_group": "F-43m, No. 216", "e_form_kj_per_mol_atoms": -48, "e_tot_ev_per_atom": -4.4804}

Entry 3:
{"formula": "TaTcPtRh", "functional": "PBE", "state": "optimized geometry", "cell": [[3.8710, 0.0000, 0.0000], [0.0000, 3.9164, 0.0000], [0.0000, 0.0000, 4.0333]], "species": ["Ta", "Tc", "Pt", "Rh"], "frac_coords": [[0.0000, 0.0000, 0.0000], [0.5000, 0.5000, 0.0000], [0.0000, 0.5000, 0.5000], [0.5000, 0.0000, 0.5000]], "magnetic_moment_mub_per_atom": 0.04, "space_group": "Pmmm, No. 47", "e_form_kj_per_mol_atoms": -49, "e_tot_ev_per_atom": -9.4136}

Entry 4:
{"formula": "NaDyAgGe", "functional": "PBE", "state": "optimized geometry", "cell": [[0.0000, 3.5312, 3.5312], [3.5312, 0.0000, 3.5312], [3.5312, 3.5312, 0.0000]], "species": ["Na", "Dy", "Ag", "Ge"], "frac_coords": [[0.0000, 0.0000, 0.0000], [0.5000, 0.5000, 0.5000], [0.2500, 0.2500, 0.2500], [0.7500, 0.7500, 0.7500]], "magnetic_moment_mub_per_atom": 0.00, "space_group": "F-43m, No. 216", "e_form_kj_per_mol_atoms": -29, "e_tot_ev_per_atom": -3.6442}

Entry 5:
{"formula": "Na2NpPaO6", "functional": "PBE", "state": "optimized geometry", "cell": [[5.8300, 0.0000, 0.0000], [0.0000, 5.9753, 0.0000], [-5.7969, 0.0000, 8.3717]], "species": ["Na", "Na", "Na", "Na", "Np", "Np", "Pa", "Pa", "O", "O", "O", "O", "O", "O", "O", "O", "O", "O", "O", "O"], "frac_coords": [[0.2441, 0.0312, 0.2499], [0.2441, 0.4688, 0.7499], [0.7559, 0.5312, 0.2501], [0.7559, 0.9688, 0.7501], [0.0000, 0.0000, 0.5000], [0.0000, 0.5000, 0.0000], [0.5000, 0.0000, 0.0000], [0.5000, 0.5000, 0.5000], [0.1468, 0.2044, 0.9503], [0.1468, 0.2956, 0.4503], [0.2474, 0.6985, 0.9505], [0.2474, 0.8015, 0.4505], [0.3444, 0.0321, 0.7495], [0.3444, 0.4679, 0.2495], [0.6556, 0.5321, 0.7505], [0.6556, 0.9679, 0.2505], [0.7526, 0.1985, 0.5495], [0.7526, 0.3015, 0.0495], [0.8532, 0.7044, 0.5497], [0.8532, 0.7956, 0.0497]], "raw_formation_energy_ev_per_atom": -2.85, "magnetic_moment_mub_per_atom": 0.20, "space_group": "P2_1/c, No. 14", "e_tot_ev_per_atom": -8.3332}

Entry 6:
{"formula": "DyEr4S6", "functional": "PBE", "state": "optimized geometry", "cell": [[1.8988, -6.3657, 0.0000], [1.8988, 6.3657, 0.0000], [0.0000, 0.0000, 19.6631]], "species": ["Dy", "Dy", "Er", "Er", "Er", "Er", "Er", "Er", "Er", "Er", "S", "S", "S", "S", "S", "S", "S", "S", "S", "S", "S", "S"], "frac_coords": [[0.1514, 0.8486, 0.7500], [0.8486, 0.1514, 0.2500], [0.0916, 0.9084, 0.1274], [0.0916, 0.9084, 0.3726], [0.3614, 0.6386, 0.0396], [0.3614, 0.6386, 0.4604], [0.6386, 0.3614, 0.5396], [0.6386, 0.3614, 0.9604], [0.9084, 0.0916, 0.6274], [0.9084, 0.0916, 0.8726], [0.0000, 0.0000, 0.0000], [0.0000, 0.0000, 0.5000], [0.1921, 0.8079, 0.2500], [0.2693, 0.7307, 0.5886], [0.2693, 0.7307, 0.9114], [0.4500, 0.5500, 0.1667], [0.4500, 0.5500, 0.3333], [0.5500, 0.4500, 0.6667], [0.5500, 0.4500, 0.8333], [0.7307, 0.2693, 0.0887], [0.7307, 0.2693, 0.4114], [0.8079, 0.1921, 0.7500]], "raw_formation_energy_ev_per_atom": -2.02, "magnetic_moment_mub_per_atom": 0.00, "space_group": "Cmcm, No. 63", "e_tot_ev_per_atom": -6.3517}